Entry 1:
Computed, not measured: a relaxed Li2DySn3Te6 crystal at the PBE level of DFT.

a = 7.5743 Å, b = 7.5743 Å, c = 7.7299 Å
α = 99.39°, β = 99.39°, γ = 120.08°
Sites, in units of the cell vectors:
1 Li 0.3278 0.6722 0.0000
2 Li 0.6722 0.3278 0.0000
3 Dy 0.0000 0.0000 0.0000
4 Sn 0.1615 0.8385 0.5000
5 Sn 0.8385 0.1615 0.5000
6 Sn 0.5000 0.5000 0.5000
7 Te 0.9199 0.5873 0.7625
8 Te 0.7460 0.7460 0.2404
9 Te 0.0801 0.4127 0.2375
10 Te 0.5873 0.9199 0.7625
11 Te 0.2540 0.2540 0.7596
12 Te 0.4127 0.0801 0.2375

**Space group**: C2/m (12)
**E_form (uncorrected)**: -0.6618 eV/atom

Entry 2:
Computed, not measured: a relaxed LiDy2Sn3Te6 crystal at the PBE level of DFT.

a = 4.3876 Å, b = 9.0700 Å, c = 10.0552 Å
α = 104.74°, β = 102.60°, γ = 90.00°
Sites, in units of the cell vectors:
1 Li 0.5000 0.0000 0.0000
2 Dy 0.8331 0.6573 0.6662
3 Dy 0.1669 0.3427 0.3338
4 Sn 0.5000 0.5000 0.0000
5 Sn 0.8412 0.1527 0.6825
6 Sn 0.1588 0.8473 0.3175
7 Te 0.3305 0.8995 0.6610
8 Te 0.6694 0.5862 0.3388
9 Te 0.6695 0.1005 0.3390
10 Te 0.0051 0.2428 0.0102
11 Te 0.9949 0.7572 0.9898
12 Te 0.3306 0.4138 0.6612

**Space group**: C2/m (12)
**E_form (uncorrected)**: -0.7179 eV/atom